1.
A plane-wave DFT calculation with PBE was carried out for Be2RuI after structural relaxation.

Computed properties:
Its crystal system is tetragonal. The value obtained for the energy above the lowest structure with this stoichiometry is 0.000 eV per atom.

POSCAR file:
```
Be2RuI
1.0
5.673 0.000 0.000
0.000 5.673 0.000
2.837 2.837 4.987
Be I Ru
4 2 2
Cartesian
1.693 4.255 1.247
3.980 1.418 1.247
7.091 6.817 3.741
4.255 4.529 3.741
0.000 0.000 0.000
5.673 2.837 2.494
2.837 2.837 0.000
2.837 5.673 2.494
```


2.
A plane-wave DFT calculation with PBE was carried out for Be2Ru2I after structural relaxation.

Computed properties:
Its crystal system is tetragonal. The value obtained for the energy above the lowest structure with this stoichiometry is 0.000 eV per atom.

POSCAR file:
```
Be2Ru2I
1.0
3.215 0.000 0.000
0.000 3.215 0.000
1.607 1.607 6.804
Be Ru I
2 2 1
Cartesian
1.607 3.215 3.402
3.215 1.607 3.402
1.607 1.607 1.607
3.215 3.215 5.197
0.000 0.000 0.000
```


3.
A plane-wave DFT calculation with PBE was carried out for BeRuI3 after structural relaxation.

Computed properties:
Its crystal system is cubic. As for the calculated total energy: -13.35 eV per formula unit.

POSCAR file:
```
BeRuI3
1.0
5.429 0.000 0.000
0.000 5.429 0.000
0.000 0.000 5.429
I Be Ru
3 1 1
Cartesian
2.715 0.000 0.000
0.000 0.000 2.715
0.000 2.715 0.000
2.715 2.715 2.715
0.000 0.000 0.000
```


Quick rundown of D(E_F), same order as above: 2.55; 3.73; 6.94 states/eV/cell